Record 1
Here is a relaxed structure of Ba2GeAs from Alexandria via LeMat-Bulk. Energies are from PBE.

ΔE to the lowest computed polymorph ... 0 meV per atom
Density ... 4.07 g cm⁻³
Magnetic moment ... 0.4 μB per cell

abc: 9.0624 8.2415 9.6827
angles: 90.00 107.81 90.00
Last column: nearest neighbours and their distance in Å.
Fractional positions:
Ba (0.2363, 0.2177, 0.1725)  3 As 3.31-3.53, 2 Ge 3.49-3.51
Ba (0.2363, 0.2823, 0.6725)  3 As 3.31-3.53, 2 Ge 3.49-3.51
Ba (0.2545, 0.7483, 0.9368)  2 As 3.26-3.43, 2 Ge 3.30-3.42
Ba (0.2545, 0.7517, 0.4368)  2 As 3.26-3.43, 2 Ge 3.30-3.42
Ba (0.7455, 0.2483, 0.5632)  2 As 3.26-3.43, 2 Ge 3.30-3.42
Ba (0.7455, 0.2517, 0.0632)  2 As 3.26-3.43, 2 Ge 3.30-3.42
Ba (0.7637, 0.7177, 0.3275)  3 As 3.31-3.53, 2 Ge 3.49-3.51
Ba (0.7637, 0.7823, 0.8275)  3 As 3.31-3.53, 2 Ge 3.49-3.51
Ge (0.0338, 0.5874, 0.1164)  1 As 2.49, 1 Ge 2.59
Ge (0.0338, 0.9126, 0.6164)  1 As 2.49, 1 Ge 2.59
Ge (0.9662, 0.0874, 0.3836)  1 As 2.49, 1 Ge 2.59
Ge (0.9662, 0.4126, 0.8836)  1 As 2.49, 1 Ge 2.59
As (0.0147, 0.0766, 0.8268)  1 Ge 2.49
As (0.0147, 0.4234, 0.3268)  1 Ge 2.49
As (0.9853, 0.5766, 0.6732)  1 Ge 2.49
As (0.9853, 0.9234, 0.1732)  1 Ge 2.49

---

Record 2
Here is a relaxed structure of Ba2GeAs2 from Alexandria via LeMat-Bulk. Energies are from PBE.

Raw total energy ... -0.16050 Ha/atom
Density ... 5.25 g cm⁻³
Magnetic moment ... 0.0 μB per cell

abc: 6.6426 6.6426 12.2419
angles: 110.55 110.55 38.81
Last column: nearest neighbours and their distance in Å.
Fractional positions:
Ba (0.0903, 0.0903, 0.4145)  2 Ge 3.23, 4 As 3.36-3.59, 1 Ba 3.61
Ba (0.3159, 0.3159, 0.8584)  5 As 3.31-3.56, 1 Ge 3.49
Ba (0.6841, 0.6841, 0.1416)  5 As 3.31-3.56, 1 Ge 3.49
Ba (0.9097, 0.9097, 0.5855)  2 Ge 3.23, 4 As 3.36-3.59, 1 Ba 3.61
Ge (0.4459, 0.4459, 0.2242)  3 As 2.51-2.63
Ge (0.5541, 0.5541, 0.7758)  3 As 2.51-2.63
As (0.0685, 0.0685, 0.8974)  2 Ge 2.63
As (0.3307, 0.3307, 0.3542)  1 Ge 2.51
As (0.6693, 0.6693, 0.6458)  1 Ge 2.51
As (0.9315, 0.9315, 0.1026)  2 Ge 2.63

---

Record 3
Here is a relaxed structure of Ba3GeAs3 from Alexandria via LeMat-Bulk. Energies are from PBE.

Raw total energy ... -0.15990 Ha/atom
Density ... 4.95 g cm⁻³
Magnetic moment ... 0.0 μB per cell

abc: 10.7249 10.7249 13.5133
angles: 90.00 90.00 37.79
Last column: nearest neighbours and their distance in Å.
Fractional positions:
Ba (0.0104, 0.6398, 0.1301)  1 Ge 3.35, 6 As 3.37-3.64
Ba (0.1398, 0.5104, 0.6301)  1 Ge 3.35, 6 As 3.37-3.64
Ba (0.1788, 0.8212, 0.8532)  6 As 3.33-3.71, 2 Ge 3.45
Ba (0.3212, 0.6788, 0.3532)  6 As 3.33-3.71, 2 Ge 3.45
Ba (0.3602, 0.9896, 0.1301)  1 Ge 3.35, 6 As 3.37-3.64
Ba (0.4896, 0.8602, 0.6301)  1 Ge 3.35, 6 As 3.37-3.64
Ba (0.5104, 0.1398, 0.3699)  1 Ge 3.35, 6 As 3.37-3.64
Ba (0.6398, 0.0104, 0.8699)  1 Ge 3.35, 6 As 3.37-3.64
Ba (0.6788, 0.3212, 0.6468)  6 As 3.33-3.71, 2 Ge 3.45
Ba (0.8212, 0.1788, 0.1468)  6 As 3.33-3.71, 2 Ge 3.45
Ba (0.8602, 0.4896, 0.3699)  1 Ge 3.35, 6 As 3.37-3.64
Ba (0.9896, 0.3602, 0.8699)  1 Ge 3.35, 6 As 3.37-3.64
Ge (0.0850, 0.0850, 0.5000)  4 As 2.59-2.65
Ge (0.4150, 0.4150, 0.0000)  4 As 2.59-2.65
Ge (0.5850, 0.5850, 0.0000)  4 As 2.59-2.65
Ge (0.9150, 0.9150, 0.5000)  4 As 2.59-2.65
As (0.0355, 0.6461, 0.3810)  1 Ge 2.59
As (0.1461, 0.5355, 0.8810)  1 Ge 2.59
As (0.2066, 0.7934, 0.6047)  2 Ge 2.65
As (0.2934, 0.7066, 0.1047)  2 Ge 2.65
As (0.3539, 0.9645, 0.3810)  1 Ge 2.59
As (0.4645, 0.8539, 0.8810)  1 Ge 2.59
As (0.5355, 0.1461, 0.1190)  1 Ge 2.59
As (0.6461, 0.0355, 0.6190)  1 Ge 2.59
As (0.7066, 0.2934, 0.8953)  2 Ge 2.65
As (0.7934, 0.2066, 0.3953)  2 Ge 2.65
As (0.8539, 0.4645, 0.1190)  1 Ge 2.59
As (0.9645, 0.3539, 0.6190)  1 Ge 2.59

---

Record 4
Here is a relaxed structure of BaGeAs3 from Alexandria via LeMat-Bulk. Energies are from PBE.

ΔE to the lowest computed polymorph ... 242 meV per atom
Density ... 5.36 g cm⁻³
Magnetic moment ... 0.0 μB per cell

abc: 5.1256 5.1256 5.1256
angles: 90.00 90.00 90.00
Last column: nearest neighbours and their distance in Å.
Fractional positions:
Ba (0.0000, 0.0000, 0.0000)  12 As 3.62
Ge (0.5000, 0.5000, 0.5000)  6 As 2.56
As (0.0000, 0.5000, 0.5000)  2 Ge 2.56
As (0.5000, 0.0000, 0.5000)  2 Ge 2.56
As (0.5000, 0.5000, 0.0000)  2 Ge 2.56

---

Record 5
Here is a relaxed structure of Ba2GeAs2 from Alexandria via LeMat-Bulk. Energies are from PBE.

Raw total energy ... -0.14940 Ha/atom
Density ... 4.88 g cm⁻³
Magnetic moment ... 0.0 μB per cell

abc: 6.0842 6.0842 6.0842
angles: 114.96 114.96 98.98
Last column: nearest neighbours and their distance in Å.
Fractional positions:
Ba (0.2500, 0.7500, 0.5000)  4 As 3.32
Ba (0.7500, 0.2500, 0.5000)  4 As 3.32
Ge (0.0000, 0.0000, 0.0000)  2 As 2.54
As (0.3210, 0.3210, 0.0000)  1 Ge 2.54, 1 As 2.83
As (0.6790, 0.6790, 0.0000)  1 Ge 2.54, 1 As 2.83

---

Record 6
Here is a relaxed structure of Ba5Ge2As5 from Alexandria via LeMat-Bulk. Energies are from PBE.

Raw total energy ... -0.15862 Ha/atom
Density ... 5.30 g cm⁻³
Magnetic moment ... 0.0 μB per cell

abc: 8.3932 8.3932 12.3672
angles: 122.33 122.33 31.46
Last column: nearest neighbours and their distance in Å.
Fractional positions:
Ba (0.0000, 0.0000, 0.0000)  6 As 3.35-3.42, 4 Ge 3.73
Ba (0.3220, 0.3220, 0.4293)  3 Ge 3.21-3.36, 4 As 3.38-3.58
Ba (0.3690, 0.3690, 0.1756)  5 As 3.34-3.47, 1 Ba 3.62
Ba (0.6310, 0.6310, 0.8244)  5 As 3.34-3.47, 1 Ba 3.62
Ba (0.6780, 0.6780, 0.5707)  3 Ge 3.21-3.36, 4 As 3.38-3.58
Ge (0.3615, 0.3615, 0.7137)  3 As 2.50-2.74
Ge (0.6385, 0.6385, 0.2863)  3 As 2.50-2.74
As (0.0000, 0.0000, 0.5000)  2 As 2.98
As (0.0515, 0.0515, 0.3027)  2 Ge 2.74, 1 As 2.98
As (0.3100, 0.3100, 0.8706)  1 Ge 2.50
As (0.6900, 0.6900, 0.1294)  1 Ge 2.50
As (0.9485, 0.9485, 0.6973)  2 Ge 2.74, 1 As 2.98

---

Record 7
Here is a relaxed structure of Ba2GeAs from Alexandria via LeMat-Bulk. Energies are from PBE.

ΔE to the lowest computed polymorph ... 209 meV per atom
Density ... 4.87 g cm⁻³
Magnetic moment ... 0.0 μB per cell

abc: 7.2776 7.2776 7.2776
angles: 104.14 104.14 120.75
Last column: nearest neighbours and their distance in Å.
Fractional positions:
Ba (0.1078, 0.6250, 0.9828)  2 As 3.19, 2 Ge 3.39
Ba (0.3750, 0.3578, 0.4828)  2 As 3.19, 2 Ge 3.39
Ba (0.6422, 0.1250, 0.0172)  2 As 3.19, 2 Ge 3.39
Ba (0.8750, 0.8922, 0.5172)  2 As 3.19, 2 Ge 3.39
Ge (0.2500, 0.7500, 0.5000)  4 Ba 3.39, 2 As 3.60
Ge (0.5000, 0.5000, 0.0000)  4 Ba 3.39, 2 As 3.60
As (0.0000, 0.0000, 0.0000)  4 Ba 3.19
As (0.7500, 0.2500, 0.5000)  4 Ba 3.19

---

Record 8
Here is a relaxed structure of Ba2GeAs2 from Alexandria via LeMat-Bulk. Energies are from PBE.

Raw total energy ... -0.15680 Ha/atom
Density ... 5.50 g cm⁻³
Magnetic moment ... 0.0 μB per cell

abc: 7.7921 7.7921 4.9413
angles: 90.00 90.00 90.00
Last column: nearest neighbours and their distance in Å.
Fractional positions:
Ba (0.1829, 0.3171, 0.0000)  6 As 3.33-3.43
Ba (0.3171, 0.8171, 0.0000)  6 As 3.33-3.43
Ba (0.6829, 0.1829, 0.0000)  6 As 3.33-3.43
Ba (0.8171, 0.6829, 0.0000)  6 As 3.33-3.43
Ge (0.0000, 0.0000, 0.5000)  4 As 3.13
Ge (0.5000, 0.5000, 0.5000)  4 As 3.13
As (0.1151, 0.6151, 0.5000)  1 As 2.54
As (0.3849, 0.1151, 0.5000)  1 As 2.54
As (0.6151, 0.8849, 0.5000)  1 As 2.54
As (0.8849, 0.3849, 0.5000)  1 As 2.54

---

Record 9
Here is a relaxed structure of BaGeAs3 from Alexandria via LeMat-Bulk. Energies are from PBE.

ΔE to the lowest computed polymorph ... 1595 meV per atom
Density ... 3.79 g cm⁻³
Magnetic moment ... 0.0 μB per cell

abc: 5.7529 5.7529 5.7529
angles: 90.00 90.00 90.00
Last column: nearest neighbours and their distance in Å.
Fractional positions:
Ba (0.0000, 0.0000, 0.0000)  6 As 2.88
Ge (0.5000, 0.5000, 0.5000)  12 As 4.07
As (0.0000, 0.0000, 0.5000)  2 Ba 2.88
As (0.0000, 0.5000, 0.0000)  2 Ba 2.88
As (0.5000, 0.0000, 0.0000)  2 Ba 2.88

---

Record 10
Here is a relaxed structure of BaGeAs2 from Alexandria via LeMat-Bulk. Energies are from PBE.

Raw total energy ... -0.16173 Ha/atom
Density ... 4.48 g cm⁻³
Magnetic moment ... 0.0 μB per cell

abc: 7.0179 7.0179 9.3747
angles: 90.00 90.00 120.00
Last column: nearest neighbours and their distance in Å.
Fractional positions:
Ba (0.0000, 0.6446, 0.1667)  4 As 3.25-3.35
Ba (0.3554, 0.3554, 0.5000)  4 As 3.25-3.35
Ba (0.6446, 0.0000, 0.8333)  4 As 3.25-3.35
Ge (0.0000, 0.5440, 0.6667)  4 As 2.48-2.51
Ge (0.4560, 0.4560, 0.0000)  4 As 2.48-2.51
Ge (0.5440, 0.0000, 0.3333)  4 As 2.48-2.51
As (0.1314, 0.4527, 0.8918)  2 Ge 2.48-2.51
As (0.3213, 0.8686, 0.5585)  2 Ge 2.48-2.51
As (0.4527, 0.1314, 0.1082)  2 Ge 2.48-2.51
As (0.5473, 0.6787, 0.2251)  2 Ge 2.48-2.51
As (0.6787, 0.5473, 0.7749)  2 Ge 2.48-2.51
As (0.8686, 0.3213, 0.4415)  2 Ge 2.48-2.51

---

Record 11
Here is a relaxed structure of BaHgGe2As from Alexandria via LeMat-Bulk. Energies are from PBE.

Raw total energy ... -0.07761 Ha/atom
Density ... 4.33 g cm⁻³
Magnetic moment ... 0.0 μB per cell

abc: 6.0521 6.0521 5.8493
angles: 90.00 90.00 90.00
Last column: nearest neighbours and their distance in Å.
Fractional positions:
Ba (0.0000, 0.0000, 0.0000)  2 As 2.92, 4 Ge 3.03
Hg (0.5000, 0.5000, 0.5000)  8 Ge 4.21, 4 As 4.28
Ge (0.0000, 0.5000, 0.0000)  2 Ba 3.03
Ge (0.5000, 0.0000, 0.0000)  2 Ba 3.03
As (0.0000, 0.0000, 0.5000)  2 Ba 2.92